First-principles (PBE-GGA) data for an optimized crystal structure of AsOs, as listed in Alexandria via LeMat-Bulk.

Summary:
Calculated density ... 12.3 g/cm3
Energy of formation ... 0.332 eV/atom

```
data_AsOs
_cell_length_a 2.846
_cell_length_b 3.949
_cell_length_c 6.382
_cell_angle_alpha 90.00
_cell_angle_beta 90.09
_cell_angle_gamma 90.00
_space_group_name_H-M_alt 'P 1 21/m 1'
_space_group_IT_number 11
_space_group_name_Hall '-P 2yb'
loop_
_atom_site_label
_atom_site_fract_x
_atom_site_fract_y
_atom_site_fract_z
As1 0.248 0.250 0.210
Os1 0.250 0.250 0.594
```



First-principles (PBE-GGA) data for an optimized crystal structure of NaSeS, as listed in Alexandria via LeMat-Bulk.

Summary:
ΔE to the lowest computed polymorph ... 73 meV/atom
Calculated density ... 3.1 g/cm3

```
data_NaSeS
_cell_length_a 4.440
_cell_length_b 4.460
_cell_length_c 8.226
_cell_angle_alpha 104.36
_cell_angle_beta 96.21
_cell_angle_gamma 109.80
_space_group_name_H-M_alt 'P -1'
_space_group_IT_number 2
_space_group_name_Hall '-P 1'
loop_
_atom_site_label
_atom_site_fract_x
_atom_site_fract_y
_atom_site_fract_z
Na1 0.233 0.476 0.208
Se1 0.000 0.000 0.500
Se2 0.500 0.000 0.000
S1 0.342 0.838 0.677
```



| no. | DFT total energy (eV/atom) | volume (Å³ per cell) |
| --- | --- | --- |
| 1 | -7.607 | 72 |
| 2 | -3.364 | 145 |